Density functional theory data (GGA-PBE) for a geometry-optimized HfAlSb2Cl structure.

Calculated total energy   -20.308 eV for the cell shown
Mass density   6.43 g/cm3
Formation energy from raw total energies   3.5 eV/f.u.
Total moment   0.00 μB/cell

a b c (Å): 5.2151 4.6017 5.2151
angles (deg): 90.00 90.00 90.00
Element x y z (fractional)
Cl  0.0000  0.0000  0.0000
Sb  0.5000  0.0000  0.0000
Sb  0.0000  0.0000  0.5000
Hf  0.5000  0.5000  0.5000
Al  0.0000  0.5000  0.0000

Density functional theory data (GGA-PBE) for a geometry-optimized RbZrCoSe4 structure.

Calculated total energy   -72.711 eV for the cell shown
Mass density   5.02 g/cm3
Formation energy from raw total energies   -5.8 eV/f.u.
Total moment   4.34 μB/cell

a b c (Å): 6.5476 6.0802 9.6327
angles (deg): 90.00 108.11 90.00
Last column: magnetic moment on the atom in μB.
Element x y z (fractional)
Se  0.9839  0.0063  0.3143  0.03
Se  0.9839  0.4937  0.3143  0.03
Se  0.5540  0.2500  0.8210  0.12
Se  0.4395  0.7500  0.5920  0.09
Se  0.0161  0.5063  0.6857  0.03
Se  0.5605  0.2500  0.4080  0.09
Se  0.0161  0.9937  0.6857  0.03
Se  0.4460  0.7500  0.1790  0.12
Zr  0.2631  0.2500  0.5520  0.04
Zr  0.7369  0.7500  0.4480  0.04
Co  0.7434  0.2500  0.6547  1.56
Co  0.2566  0.7500  0.3453  1.56
Rb  0.7687  0.7500  0.9542  0.01
Rb  0.2313  0.2500  0.0458  0.01

Density functional theory data (GGA-PBE) for a geometry-optimized LiNdZrAl structure.

Calculated total energy   -19.322 eV for the cell shown
Formation energy   -0.0874 eV per atom
Mass density   4.97 g/cm3
Total moment   0.00 μB/cell

a b c (Å): 5.0287 5.0287 5.0287
angles (deg): 60.00 60.00 60.00
Element x y z (fractional)
Nd  0.7500  0.7500  0.7500
Zr  0.2500  0.2500  0.2500
Li  0.0000  0.0000  0.0000
Al  0.5000  0.5000  0.5000

Density functional theory data (GGA-PBE) for a geometry-optimized DyMnCl6 structure.

Calculated total energy   -37.010 eV for the cell shown
Mass density   3.47 g/cm3
Formation energy from raw total energies   -12.2 eV/f.u.
Total moment   4.00 μB/cell

a b c (Å): 6.4067 6.4079 6.8694
angles (deg): 62.22 62.21 60.00
Last column: magnetic moment on the atom in μB.
Element x y z (fractional)
Cl  0.2324  0.9118  0.2376  0.00
Cl  0.6183  0.2323  0.2375  0.00
Cl  0.7676  0.0882  0.7624  0.00
Cl  0.0883  0.3818  0.7623  0.00
Cl  0.3817  0.7677  0.7625  0.00
Cl  0.9117  0.6182  0.2377  0.00
Mn  0.0000  0.0000  0.0000  3.70
Dy  0.5000  0.5000  0.5000  0.05

Density functional theory data (GGA-PBE) for a geometry-optimized LiCo2Re structure.

Calculated total energy   -27.200 eV for the cell shown
Formation energy   0.3435 eV per atom
Relative energy among the computed polymorphs   195 meV per atom
Mass density   11.21 g/cm3
Total moment   1.83 μB/cell

a b c (Å): 4.0241 4.0241 4.0241
angles (deg): 60.00 60.00 60.00
Last column: magnetic moment on the atom in μB.
Element x y z (fractional)
Co  0.0000  0.0000  0.0000  0.63
Co  0.7500  0.7500  0.7500  1.32
Re  0.2500  0.2500  0.2500  -0.09
Li  0.5000  0.5000  0.5000  -0.01

Density functional theory data (GGA-PBE) for a geometry-optimized Ba2FeCoB structure.

Calculated total energy   -22.388 eV for the cell shown
Formation energy   0.7407 eV per atom
Mass density   5.03 g/cm3
Total moment   2.67 μB/cell

a b c (Å): 5.8573 3.8537 5.8573
angles (deg): 90.00 90.00 90.00
Last column: magnetic moment on the atom in μB.
Element x y z (fractional)
Fe  0.5000  0.5000  0.5000  2.92
Ba  0.5000  0.0000  0.0000  -0.06
Ba  0.0000  0.0000  0.5000  -0.07
B  0.0000  0.5000  0.0000  0.01
Co  0.0000  0.0000  0.0000  0.03

Density functional theory data (GGA-PBE) for a geometry-optimized Mg2SiNi structure.

Calculated total energy   -14.663 eV for the cell shown
Mass density   3.70 g/cm3
Formation energy from raw total energies   -0.3 eV/f.u.
Total moment   0.00 μB/cell

a b c (Å): 4.6878 4.6878 4.6878
angles (deg): 128.91 128.91 75.15
Element x y z (fractional)
Mg  0.2500  0.7500  0.5000
Mg  0.0000  0.0000  0.0000
Ni  0.5000  0.5000  0.0000
Si  0.7500  0.2500  0.5000

Density functional theory data (GGA-PBE) for a geometry-optimized SrPuHg4 structure.

Calculated total energy   -18.064 eV for the cell shown
Formation energy   -0.1405 eV per atom
Relative energy among the computed polymorphs   157 meV per atom
Mass density   11.55 g/cm3
Total moment   6.25 μB/cell

a b c (Å): 6.1320 6.1320 6.1320
angles (deg): 60.00 60.00 60.00
Last column: magnetic moment on the atom in μB.
Element x y z (fractional)
Hg  0.1256  0.6248  0.6248  0.01
Hg  0.6248  0.1256  0.6248  0.01
Hg  0.6248  0.6248  0.6248  0.01
Hg  0.6248  0.6248  0.1256  0.01
Sr  0.0000  0.0000  0.0000  0.04
Pu  0.2500  0.2500  0.2500  5.66

Density functional theory data (GGA-PBE) for a geometry-optimized Dy3ScPd12 structure.

Calculated total energy   -96.319 eV for the cell shown
Formation energy   -0.8667 eV per atom
Mass density   10.94 g/cm3
Total moment   0.00 μB/cell

a b c (Å): 4.0933 4.0933 16.3942
angles (deg): 90.00 90.00 90.00
Element x y z (fractional)
Sc  0.0000  0.0000  0.0000
Pd  0.0000  0.5000  0.8813
Pd  0.5000  0.0000  0.1187
Pd  0.5000  0.0000  0.6270
Pd  0.5000  0.0000  0.3730
Pd  0.5000  0.5000  0.2459
Pd  0.0000  0.5000  0.6270
Pd  0.0000  0.5000  0.1187
Pd  0.5000  0.0000  0.8813
Pd  0.5000  0.5000  0.0000
Pd  0.5000  0.5000  0.7541
Pd  0.5000  0.5000  0.5000
Pd  0.0000  0.5000  0.3730
Dy  0.0000  0.0000  0.2462
Dy  0.0000  0.0000  0.5000
Dy  0.0000  0.0000  0.7538

Density functional theory data (GGA-PBE) for a geometry-optimized Ca2Hg3Ge structure.

Calculated total energy   -24.450 eV for the cell shown
Formation energy   -0.4498 eV per atom
Relative energy among the computed polymorphs   0 meV per atom
Mass density   8.30 g/cm3
Total moment   0.00 μB/cell

a b c (Å): 6.1097 6.1097 9.1617
angles (deg): 104.25 104.25 105.18
Element x y z (fractional)
Hg  0.1713  0.6579  0.8292
Hg  0.8291  0.8291  0.6581
Hg  0.6579  0.1713  0.8292
Hg  0.1709  0.1709  0.3419
Hg  0.8287  0.3421  0.1708
Hg  0.3421  0.8287  0.1708
Ge  0.3351  0.3351  0.6702
Ge  0.6649  0.6649  0.3298
Ca  0.2500  0.7500  0.5000
Ca  0.2453  0.2453  0.0000
Ca  0.7547  0.7547  0.0000
Ca  0.7500  0.2500  0.5000

Density functional theory data (GGA-PBE) for a geometry-optimized LaNd4Tm7 structure.

Calculated total energy   -52.232 eV for the cell shown
Formation energy   0.2556 eV per atom
Relative energy among the computed polymorphs   239 meV per atom
Mass density   7.81 g/cm3
Total moment   0.00 μB/cell

a b c (Å): 5.8918 11.6377 6.7614
angles (deg): 83.09 64.17 75.34
Element x y z (fractional)
Nd  0.2294  0.3301  0.2111
Nd  0.6332  0.2232  0.5105
Nd  0.3668  0.7768  0.4895
Nd  0.7706  0.6699  0.7889
Tm  0.9334  0.3207  0.8126
Tm  0.7892  0.9233  0.4984
Tm  0.5000  0.0000  0.0000
Tm  0.2108  0.0767  0.5016
Tm  0.3669  0.4976  0.7687
Tm  0.6331  0.5024  0.2313
Tm  0.0666  0.6793  0.1874
La  0.0000  0.0000  0.0000

Density functional theory data (GGA-PBE) for a geometry-optimized KTl2N structure.

Calculated total energy   -24.727 eV for the cell shown
Relative energy among the computed polymorphs   0 meV per atom
Mass density   7.38 g/cm3
Formation energy from raw total energies   1.8 eV/f.u.
Total moment   0.00 μB/cell

a b c (Å): 8.1821 8.1821 6.5650
angles (deg): 51.45 51.45 90.00
Element x y z (fractional)
K  0.0000  0.0000  0.0000
K  0.7500  0.2500  0.5000
Tl  0.8750  0.7737  0.7500
Tl  0.3750  0.4763  0.7500
Tl  0.2263  0.6250  0.2500
Tl  0.5237  0.1250  0.2500
N  0.5000  0.5000  0.0000
N  0.2500  0.7500  0.5000